Record 1
DFT (meta-GGA SCAN) results for a crystal of AsP2Ir relaxed with PBEsol.

Formation energy from the elements in eV/atom: 0.580

Cell lengths 4.144, 4.486, 4.144 Å; angles 62.49, 90.00, 117.51 degrees
Fractional coordinates of all 4 atoms:
P 0.000 0.000 0.000
P 0.250 0.500 0.250
As 0.500 0.000 0.500
Ir 0.750 0.500 0.750

---

Record 2
DFT (meta-GGA SCAN) results for a crystal of SmSi2Ag2 relaxed with PBEsol.

Raw formation energy in eV/atom: -0.4598

Cell lengths 4.144, 4.144, 6.049 Å; angles 110.03, 110.03, 90.00 degrees
Fractional coordinates of all 5 atoms:
Si 0.391 0.391 0.783
Si 0.609 0.609 0.217
Ag 0.250 0.750 0.500
Ag 0.750 0.250 0.500
Sm 0.000 0.000 0.000

---

Record 3
DFT (meta-GGA SCAN) results for a crystal of LiMg2P relaxed with PBEsol.

Formation energy from the elements in eV/atom: -0.061

Cell lengths 2.826, 5.210, 5.672 Å; angles 116.96, 103.78, 91.37 degrees
Fractional coordinates of all 4 atoms:
P 0.500 0.000 0.000
Mg 0.000 0.000 0.500
Mg 0.500 0.500 0.500
Li 0.000 0.500 0.000

---

Record 4
DFT (meta-GGA SCAN) results for a crystal of InNi2Br relaxed with PBEsol.

Raw formation energy in eV/atom: 0.4904

Cell lengths 3.614, 3.614, 5.510 Å; angles 109.15, 109.15, 90.00 degrees
Fractional coordinates of all 4 atoms:
Br 0.500 0.500 0.000
In 0.250 0.750 0.500
Ni 0.000 0.000 0.000
Ni 0.750 0.250 0.500

---

Record 5
DFT (meta-GGA SCAN) results for a crystal of Be3Au relaxed with PBEsol.

Formation energy from the elements in eV/atom: -0.253

Cell lengths 3.892, 3.892, 3.892 Å; angles 60.00, 60.00, 60.00 degrees
Fractional coordinates of all 4 atoms:
Be 0.250 0.250 0.250
Be 0.500 0.500 0.500
Be 0.750 0.750 0.750
Au 0.000 0.000 0.000

---

Record 6
DFT (meta-GGA SCAN) results for a crystal of ReHS2 relaxed with PBEsol.

Final energy in eV per atom: -22.564

Cell lengths 2.828, 2.828, 7.332 Å; angles 78.88, 78.88, 60.00 degrees
Fractional coordinates of all 4 atoms:
Re 0.000 0.000 0.000
S 0.895 0.895 0.315
S 0.105 0.105 0.685
H 0.500 0.500 0.500

---

Record 7
DFT (meta-GGA SCAN) results for a crystal of KBeRe2Te relaxed with PBEsol.

Raw formation energy in eV/atom: 1.4600

Cell lengths 4.288, 4.288, 5.028 Å; angles 90.00, 90.00, 90.00 degrees
Fractional coordinates of all 5 atoms:
Re 0.000 0.500 0.000
Re 0.500 0.000 0.000
K 0.000 0.000 0.500
Te 0.500 0.500 0.500
Be 0.000 0.000 0.000

---

Record 8
DFT (meta-GGA SCAN) results for a crystal of BeSn3Pd relaxed with PBEsol.

Formation energy from the elements in eV/atom: 0.649

Cell lengths 5.105, 5.105, 5.105 Å; angles 90.00, 90.00, 90.00 degrees
Fractional coordinates of all 5 atoms:
Be 0.500 0.500 0.500
Sn 0.000 0.500 0.000
Sn 0.000 0.000 0.500
Sn 0.500 0.000 0.000
Pd 0.000 0.000 0.000

---

Record 9
DFT (meta-GGA SCAN) results for a crystal of LiNi2Ru relaxed with PBEsol.

Formation energy from the elements in eV/atom: 0.229

Cell lengths 3.970, 3.970, 3.970 Å; angles 60.00, 60.00, 60.00 degrees
Fractional coordinates of all 4 atoms:
Li 0.500 0.500 0.500
Ni 0.000 0.000 0.000
Ni 0.750 0.750 0.750
Ru 0.250 0.250 0.250

---

Record 10
DFT (meta-GGA SCAN) results for a crystal of NiMo2Se relaxed with PBEsol.

Raw formation energy in eV/atom: 0.3470

Cell lengths 2.910, 3.865, 5.251 Å; angles 90.00, 104.53, 90.00 degrees
Fractional coordinates of all 4 atoms:
Mo 0.943 0.000 0.757
Mo 0.057 0.000 0.243
Ni 0.500 0.500 0.000
Se 0.500 0.500 0.500

---

Record 11
DFT (meta-GGA SCAN) results for a crystal of P2SO2 relaxed with PBEsol.

Raw formation energy in eV/atom: 0.3050

Cell lengths 3.485, 3.485, 4.756 Å; angles 90.00, 90.00, 90.00 degrees
Fractional coordinates of all 5 atoms:
P 0.500 0.500 0.500
P 0.000 0.000 0.500
S 0.000 0.000 0.000
O 0.000 0.500 0.000
O 0.500 0.000 0.000

---

Record 12
DFT (meta-GGA SCAN) results for a crystal of Ta2CrAg relaxed with PBEsol.

Formation energy from the elements in eV/atom: 0.360

Cell lengths 3.462, 4.461, 4.967 Å; angles 116.69, 110.40, 90.00 degrees
Fractional coordinates of all 4 atoms:
Ag 0.500 0.000 0.000
Cr 0.000 0.500 0.000
Ta 0.730 0.730 0.460
Ta 0.270 0.270 0.540